1.
# Y2MnAuN | the Alexandria database | PBE | optimized geometry
# Total DFT energy (no corrections), eV/f.u.: -38.1
data_Y2MnAuN
_chemical_formula_sum 'Y2 Mn1 Au1 N1'
_cell_length_a 4.960
_cell_length_b 4.960
_cell_length_c 3.651
_cell_angle_alpha 90.00
_cell_angle_beta 90.00
_cell_angle_gamma 90.00
_space_group_name_H-M_alt 'P 1'
_space_group_IT_number 1
_space_group_name_Hall 'P 1'
loop_
_atom_site_label
_atom_site_type_symbol
_atom_site_fract_x
_atom_site_fract_y
_atom_site_fract_z
Y1 Y 0.000 0.500 0.000
Y2 Y 0.500 0.000 0.000
Mn1 Mn 0.000 0.000 0.500
Au1 Au 0.500 0.500 0.500
N1 N 0.000 0.000 0.000

=====

2.
# NaMnAu2 | the Alexandria database | PBE | optimized geometry
# Total DFT energy (no corrections), eV/f.u.: -17.0
# ΔE_f, eV per atom: 0.020
data_NaMnAu2
_chemical_formula_sum 'Na1 Mn1 Au2'
_cell_length_a 3.128
_cell_length_b 3.128
_cell_length_c 9.256
_cell_angle_alpha 80.27
_cell_angle_beta 80.27
_cell_angle_gamma 60.00
_space_group_name_H-M_alt 'P 1'
_space_group_IT_number 1
_space_group_name_Hall 'P 1'
loop_
_atom_site_label
_atom_site_type_symbol
_atom_site_fract_x
_atom_site_fract_y
_atom_site_fract_z
Na1 Na 0.500 0.500 0.500
Mn1 Mn 0.000 0.000 0.000
Au1 Au 0.259 0.259 0.223
Au2 Au 0.741 0.741 0.777

=====

3.
# NaMnAu4 | the Alexandria database | PBE | optimized geometry
# Total DFT energy (no corrections), eV/f.u.: -23.7
# ΔE_f, eV per atom: -0.012
data_NaMnAu4
_chemical_formula_sum 'Na1 Mn1 Au4'
_cell_length_a 5.525
_cell_length_b 5.525
_cell_length_c 5.525
_cell_angle_alpha 60.00
_cell_angle_beta 60.00
_cell_angle_gamma 60.00
_space_group_name_H-M_alt 'P 1'
_space_group_IT_number 1
_space_group_name_Hall 'P 1'
loop_
_atom_site_label
_atom_site_type_symbol
_atom_site_fract_x
_atom_site_fract_y
_atom_site_fract_z
Na1 Na 0.250 0.250 0.250
Mn1 Mn 0.000 0.000 0.000
Au1 Au 0.625 0.625 0.125
Au2 Au 0.625 0.125 0.625
Au3 Au 0.625 0.625 0.625
Au4 Au 0.125 0.625 0.625

=====

4.
# NaMnAu2 | the Alexandria database | PBE | optimized geometry
# Total DFT energy (no corrections), eV/f.u.: -17.4
# ΔE_f, eV per atom: -0.081
data_NaMnAu2
_chemical_formula_sum 'Na1 Mn1 Au2'
_cell_length_a 2.897
_cell_length_b 4.983
_cell_length_c 4.983
_cell_angle_alpha 90.00
_cell_angle_beta 90.00
_cell_angle_gamma 90.00
_space_group_name_H-M_alt 'P 1'
_space_group_IT_number 1
_space_group_name_Hall 'P 1'
loop_
_atom_site_label
_atom_site_type_symbol
_atom_site_fract_x
_atom_site_fract_y
_atom_site_fract_z
Na1 Na 0.500 0.000 0.000
Mn1 Mn 0.500 0.500 0.500
Au1 Au 0.000 0.000 0.500
Au2 Au 0.000 0.500 0.000

=====

> What is the formula in the third record?

NaMnAu4